Here is Rb4Cd5 after structural relaxation from OQMD via LeMat-Bulk. Energies are from PBE.

Properties
- V (A^3/atom) = 39.02
- raw total energy (eV per atom) = -0.98

Cell: 6.5604 6.5604 18.8445 Å, 90.00 90.00 120.00°
Space group P6_3/mmc (No. 194)
Symmetry-distinct sites (fractional):
Rb: 0.0000 0.0000 0.1393 [4 per cell]
Rb: 0.3333 0.6667 0.0651 [4 per cell]
Cd: 0.0263 0.5132 0.2500 [6 per cell]
Cd: 0.3333 0.6667 0.6320 [4 per cell]